No. 1
Cs2SnGeCl6: relaxed, PBE.

Results
spin magnetization = 0.0 μB per cell
V = 329 Å³ per cell
E_form (uncorrected) = -13.89 eV/f.u.

Cell lengths 7.750, 7.750, 7.749 Å; angles 60.00, 60.00, 90.00 degrees
Fractional positions:
Sn: 0.000 0.000 0.000
Ge: 0.500 0.500 0.000
Cl: 0.257 0.257 0.487
Cl: 0.257 0.257 0.000
Cl: 0.257 0.743 0.000
Cs: 0.750 0.250 0.500
Cl: 0.743 0.257 0.000
Cs: 0.250 0.750 0.500
Cl: 0.743 0.743 0.000
Cl: 0.743 0.743 0.513

---

No. 2
Mg6TePd12: relaxed, PBE.

Results
spin magnetization = 0.0 μB per cell
V = 328 Å³ per cell
E_form (uncorrected) = -7.48 eV/f.u.

Cell lengths 7.147, 7.147, 7.147 Å; angles 103.60, 103.60, 103.60 degrees
Fractional positions:
Mg: 0.166 0.166 0.449
Pd: 0.426 0.808 0.426
Pd: 0.574 0.192 0.574
Pd: 0.000 0.263 0.737
Pd: 0.192 0.574 0.574
Mg: 0.551 0.834 0.834
Te: 0.000 0.000 0.000
Pd: 0.737 0.263 0.000
Pd: 0.808 0.426 0.426
Pd: 0.737 0.000 0.263
Mg: 0.834 0.551 0.834
Pd: 0.263 0.737 0.000
Pd: 0.426 0.426 0.808
Pd: 0.000 0.737 0.263
Pd: 0.574 0.574 0.192
Mg: 0.834 0.834 0.551
Mg: 0.166 0.449 0.166
Mg: 0.449 0.166 0.166
Pd: 0.263 0.000 0.737